DFT (GGA-PBE) results for a relaxed Sc3TlNi8 crystal.

Cell: 4.9054 4.9054 8.0249 Å, 90.00 90.00 120.00°
Space group P3m1 (No. 156)
Unique sites:
Sc1 0.0000 0.0000 0.0000 (multiplicity 1)
Sc2 0.0000 0.0000 0.3797 (multiplicity 1)
Sc3 0.3333 0.6667 0.8576 (multiplicity 1)
Tl1 0.3333 0.6667 0.4919 (multiplicity 1)
Ni1 0.0026 0.5013 0.1809 (multiplicity 3)
Ni2 0.3317 0.1658 0.6910 (multiplicity 3)
Ni3 0.6667 0.3333 0.4349 (multiplicity 1)
Ni4 0.6667 0.3333 0.9394 (multiplicity 1)

Calculated values
energy of formation = -0.393 eV/atom
total magnetic moment = 0.000 μB per atom

=====

DFT (GGA-PBE) results for a relaxed BeAsPb2 crystal.

Cell: 7.2693 7.2693 7.2693 Å, 90.00 90.00 90.00°
Space group Fm-3m (No. 225)
Unique sites:
Be1 0.0000 0.0000 0.0000 (multiplicity 4)
As1 0.0000 0.0000 0.5000 (multiplicity 4)
Pb1 0.2500 0.2500 0.2500 (multiplicity 8)

Calculated values
energy of formation = 0.568 eV/atom
total magnetic moment = 0.000 μB per atom

=====

DFT (GGA-PBE) results for a relaxed Ho8GaOs2 crystal.

Cell: 8.6609 12.8957 5.4587 Å, 90.00 104.17 90.00°
Space group Cm (No. 8)
Unique sites:
Ho1 0.0000 0.0000 0.0000 (multiplicity 2)
Ho2 0.0739 0.3667 0.7855 (multiplicity 4)
Ho3 0.1791 0.1333 0.6106 (multiplicity 4)
Ho4 0.2532 0.5000 0.3959 (multiplicity 2)
Ho5 0.3766 0.2407 0.1979 (multiplicity 4)
Ga1 0.3767 0.0000 0.1966 (multiplicity 2)
Os1 0.3765 0.3146 0.6980 (multiplicity 4)

Calculated values
energy of formation = -0.221 eV/atom
total magnetic moment = 0.000 μB per atom